Record 1
Entry from Alexandria: a relaxed structure of CrSiOs (GGA-PBE).

The structure in POSCAR format:
```
CrSiOs
1.0
4.0958 0.0000 0.0000
-2.0479 3.5471 0.0000
0.0000 0.0000 2.7438
Cr Si Os
1 1 1
Direct
0.0000 0.0000 0.0000
0.3333 0.6667 0.5000
0.6667 0.3333 0.5000
```

Results
The symmetry is P-6m2. As for the total energy: -8.866 eV per atom. The calculation puts the formation energy (no corrections) at -107 meV/atom.



Record 2
Entry from Alexandria: a relaxed structure of La3Nd5 (GGA-PBE).

The structure in POSCAR format:
```
La3Nd5
1.0
7.4648 0.0000 0.0000
0.0000 6.0283 6.4526
0.0000 -6.0283 6.4526
La Nd
6 10
Direct
0.0000 0.0000 0.0000
0.0000 0.0830 0.5820
0.0000 0.5820 0.0830
0.2536 0.2507 0.2507
0.5000 0.5000 0.5000
0.7464 0.2507 0.2507
0.0000 0.5016 0.5016
0.2504 0.3333 0.8325
0.2499 0.7496 0.7496
0.2504 0.8325 0.3333
0.5000 0.0789 0.5854
0.5000 0.5854 0.0789
0.5000 0.9985 0.9985
0.7496 0.3333 0.8325
0.7501 0.7496 0.7496
0.7496 0.8325 0.3333
```

Results
Its relative energy among the computed polymorphs is 16.2 meV per atom. The symmetry is Amm2. As for the total energy: -4.795 eV per atom.



Record 3
Entry from Alexandria: a relaxed structure of ThUN (GGA-PBE).

The structure in POSCAR format:
```
ThUN
1.0
5.3528 0.0000 0.0000
0.0000 3.4131 0.0000
-1.1018 0.0000 6.1379
Th U N
2 2 2
Direct
0.2418 0.2500 0.4439
0.7582 0.7500 0.5561
0.3079 0.7500 0.9626
0.6921 0.2500 0.0374
0.0235 0.2500 0.8081
0.9765 0.7500 0.1919
```

Results
Its relative energy among the computed polymorphs is 0.0 meV per atom. The symmetry is P2_1/m. As for the total energy: -9.713 eV per atom. The calculation puts the formation energy (no corrections) at -702 meV/atom.



Record 4
Entry from Alexandria: a relaxed structure of HoEr2Tm4 (GGA-PBE).

The structure in POSCAR format:
```
HoEr2Tm4
1.0
1.7749 1.0248 19.4620
-1.7749 1.0248 19.4620
0.0000 -2.0495 19.4620
Ho Er Tm
1 2 4
Direct
0.0000 0.0000 0.0000
0.8091 0.8091 0.8091
0.9044 0.9044 0.9044
0.0949 0.0949 0.0949
0.1899 0.1899 0.1899
0.6189 0.6189 0.6189
0.7144 0.7144 0.7144
```

Results
Its relative energy among the computed polymorphs is 0.0 meV per atom. The symmetry is R3m. As for the total energy: -4.512 eV per atom.



Record 5
Entry from Alexandria: a relaxed structure of CsZnAg2Hg (GGA-PBE).

The structure in POSCAR format:
```
CsZnAg2Hg
1.0
5.2475 0.0000 0.0000
0.0000 5.2475 0.0000
0.0000 0.0000 5.5494
Cs Zn Ag Hg
1 1 2 1
Direct
0.0000 0.0000 0.0000
0.5000 0.5000 0.5000
0.0000 0.5000 0.5000
0.5000 0.0000 0.5000
0.5000 0.5000 0.0000
```

Results
The symmetry is P4/mmm. As for the total energy: -1.541 eV per atom.



Record 6
Entry from Alexandria: a relaxed structure of K2Na6CdAu (GGA-PBE).

The structure in POSCAR format:
```
K2Na6CdAu
1.0
0.0000 5.9148 5.9148
5.9148 0.0000 5.9148
5.9148 5.9148 0.0000
K Na Cd Au
2 6 1 1
Direct
0.2500 0.2500 0.2500
0.7500 0.7500 0.7500
0.2436 0.2436 0.7564
0.2436 0.7564 0.2436
0.2436 0.7564 0.7564
0.7564 0.2436 0.2436
0.7564 0.2436 0.7564
0.7564 0.7564 0.2436
0.5000 0.5000 0.5000
0.0000 0.0000 0.0000
```

Results
The symmetry is Fm-3m. As for the total energy: -1.477 eV per atom.



Record 7
Entry from Alexandria: a relaxed structure of Li2MnH5 (GGA-PBE).

The structure in POSCAR format:
```
Li2MnH5
1.0
7.9835 0.0000 0.0000
0.0000 5.3612 0.0000
0.0000 0.0000 4.8466
Li Mn H
8 4 20
Direct
0.1749 0.0051 0.0644
0.1749 0.4949 0.0644
0.3251 0.5051 0.5644
0.3251 0.9949 0.5644
0.6749 0.0051 0.4356
0.6749 0.4949 0.4356
0.8251 0.5051 0.9356
0.8251 0.9949 0.9356
0.0095 0.2500 0.5546
0.4905 0.7500 0.0546
0.5095 0.2500 0.9454
0.9905 0.7500 0.4454
0.0124 0.2500 0.8913
0.0676 0.5389 0.6742
0.0676 0.9611 0.6742
0.1872 0.2500 0.3763
0.1889 0.7500 0.3571
0.3111 0.2500 0.8571
0.3128 0.7500 0.8763
0.4324 0.0389 0.1742
0.4324 0.4611 0.1742
0.4876 0.7500 0.3913
0.5124 0.2500 0.6087
0.5676 0.5389 0.8258
0.5676 0.9611 0.8258
0.6872 0.2500 0.1237
0.6889 0.7500 0.1429
0.8111 0.2500 0.6429
0.8128 0.7500 0.6237
0.9324 0.0389 0.3258
0.9324 0.4611 0.3258
0.9876 0.7500 0.1087
```

Results
The symmetry is Pnma. As for the total energy: -3.918 eV per atom.



Record 8
Entry from Alexandria: a relaxed structure of CrRu3 (GGA-PBE).

The structure in POSCAR format:
```
CrRu3
1.0
3.7792 0.0000 0.0000
0.0000 3.7792 0.0000
0.0000 0.0000 3.7792
Cr Ru
1 3
Direct
0.0000 0.0000 0.0000
0.0000 0.5000 0.5000
0.5000 0.0000 0.5000
0.5000 0.5000 0.0000
```

Results
The symmetry is Pm-3m. As for the total energy: -9.264 eV per atom.



Record 9
Entry from Alexandria: a relaxed structure of MgU2Si3Ir4 (GGA-PBE).

The structure in POSCAR format:
```
MgU2Si3Ir4
1.0
3.9781 0.0000 0.0000
0.0000 3.9781 0.0000
0.0000 0.0000 10.8072
Mg U Si Ir
1 2 3 4
Direct
0.0000 0.0000 0.0000
0.0000 0.5000 0.7452
0.5000 0.0000 0.2548
0.0000 0.5000 0.3764
0.5000 0.0000 0.6236
0.5000 0.5000 0.0000
0.0000 0.0000 0.5000
0.0000 0.5000 0.1595
0.5000 0.0000 0.8405
0.5000 0.5000 0.5000
```

Results
The symmetry is P-4m2. As for the total energy: -8.268 eV per atom. The calculation puts the formation energy (no corrections) at -679 meV/atom.



Record 10
Entry from Alexandria: a relaxed structure of CoHg2Br (GGA-PBE).

The structure in POSCAR format:
```
CoHg2Br
1.0
4.3852 0.0000 0.0000
0.0000 3.6762 0.0000
-1.8718 0.0000 5.8366
Co Hg Br
1 2 1
Direct
0.0000 0.0000 0.0000
0.0000 0.5000 0.5000
0.5000 0.0000 0.5000
0.5000 0.5000 0.0000
```

Results
Its relative energy among the computed polymorphs is 363.7 meV per atom. The symmetry is P2/m. As for the total energy: -1.889 eV per atom. The calculation puts the formation energy (no corrections) at 456 meV/atom.



Record 11
Entry from Alexandria: a relaxed structure of TlCdSbTe3 (GGA-PBE).

The structure in POSCAR format:
```
TlCdSbTe3
1.0
9.2728 0.0000 0.0000
0.0000 4.5301 0.0000
-2.4916 0.0000 10.0720
Tl Cd Sb Te
2 2 2 6
Direct
0.1983 0.2500 0.2384
0.8017 0.7500 0.7616
0.0854 0.2500 0.6074
0.9146 0.7500 0.3926
0.3294 0.7500 0.8734
0.6706 0.2500 0.1266
0.1064 0.2500 0.8870
0.2362 0.7500 0.5283
0.4451 0.7500 0.1592
0.5549 0.2500 0.8408
0.7638 0.2500 0.4717
0.8936 0.7500 0.1130
```

Results
The symmetry is P2_1/m. As for the total energy: -3.078 eV per atom. The calculation puts the formation energy (no corrections) at -273 meV/atom.



Record 12
Entry from Alexandria: a relaxed structure of GeTeRhI2 (GGA-PBE).

The structure in POSCAR format:
```
GeTeRhI2
1.0
5.3500 0.0000 0.0000
0.0000 5.3500 0.0000
0.0000 0.0000 5.2820
Ge Te Rh I
1 1 1 2
Direct
0.0000 0.0000 0.0000
0.5000 0.5000 0.0000
0.5000 0.5000 0.5000
0.0000 0.5000 0.5000
0.5000 0.0000 0.5000
```

Results
Its relative energy among the computed polymorphs is 0.0 meV per atom. The symmetry is P4/mmm. As for the total energy: -3.274 eV per atom. The calculation puts the formation energy (no corrections) at 368 meV/atom.